1.
The following is a DFT calculation (GGA-PBEsol) of a geometry-optimized RhC3 structure.

## Properties
Energy of formation, eV/atom: 2.84
Symmetry: Fm-3m (225)

Cell and atoms, written as POSCAR:
```
RhC3
1.0
0.000 2.561 2.561
2.561 0.000 2.561
2.561 2.561 0.000
Rh C
1 3
direct
0.000 0.000 0.000 Rh
0.250 0.250 0.250 C
0.500 0.500 0.500 C
0.750 0.750 0.750 C
```

---

2.
The following is a DFT calculation (GGA-PBEsol) of a geometry-optimized SrBeCr2 structure.

## Properties
Energy of formation, eV/atom: 1.25
Symmetry: P4/mmm (123)

Cell and atoms, written as POSCAR:
```
SrBeCr2
1.0
4.356 0.000 0.000
0.000 4.356 0.000
0.000 0.000 3.967
Sr Be Cr
1 1 2
direct
0.000 0.000 0.000 Sr
0.500 0.500 0.000 Be
0.000 0.500 0.500 Cr
0.500 0.000 0.500 Cr
```

---

3.
The following is a DFT calculation (GGA-PBEsol) of a geometry-optimized IrC3Se structure.

## Properties
Symmetry: Pm-3m (221)
Uncorrected formation energy, meV/atom: 2962

Cell and atoms, written as POSCAR:
```
IrC3Se
1.0
3.779 0.000 0.000
0.000 3.779 0.000
0.000 0.000 3.779
Ir C Se
1 3 1
direct
0.000 0.000 0.000 Ir
0.000 0.500 0.500 C
0.500 0.000 0.500 C
0.500 0.500 0.000 C
0.500 0.500 0.500 Se
```

---

4.
The following is a DFT calculation (GGA-PBEsol) of a geometry-optimized Bi8SbAuBr9 structure.

## Properties
Symmetry: P2_1/c (14)
Uncorrected formation energy, meV/atom: -441

Cell and atoms, written as POSCAR:
```
Bi8SbAuBr9
1.0
10.579 0.000 0.000
0.000 15.248 0.000
-0.995 0.000 14.595
Bi Sb Au Br
32 4 4 36
direct
0.031 0.143 0.188 Bi
0.031 0.357 0.688 Bi
0.047 0.644 0.685 Bi
0.047 0.856 0.185 Bi
0.223 0.048 0.522 Bi
0.223 0.452 0.022 Bi
0.309 0.648 0.970 Bi
0.309 0.852 0.470 Bi
0.330 0.011 0.042 Bi
0.330 0.489 0.542 Bi
0.381 0.573 0.171 Bi
0.381 0.927 0.671 Bi
0.412 0.185 0.435 Bi
0.412 0.315 0.935 Bi
0.447 0.133 0.649 Bi
0.447 0.367 0.149 Bi
0.553 0.633 0.851 Bi
0.553 0.867 0.351 Bi
0.588 0.685 0.065 Bi
0.588 0.815 0.565 Bi
0.619 0.073 0.329 Bi
0.619 0.427 0.829 Bi
0.670 0.511 0.458 Bi
0.670 0.989 0.958 Bi
0.691 0.148 0.530 Bi
0.691 0.352 0.030 Bi
0.777 0.548 0.978 Bi
0.777 0.952 0.478 Bi
0.953 0.144 0.815 Bi
0.953 0.356 0.315 Bi
0.969 0.643 0.312 Bi
0.969 0.857 0.812 Bi
0.219 0.005 0.219 Sb
0.219 0.495 0.719 Sb
0.781 0.505 0.281 Sb
0.781 0.995 0.781 Sb
0.375 0.007 0.372 Au
0.375 0.493 0.872 Au
0.625 0.507 0.128 Au
0.625 0.993 0.628 Au
0.008 0.631 0.123 Br
0.008 0.869 0.623 Br
0.018 0.634 0.878 Br
0.018 0.866 0.378 Br
0.152 0.004 0.823 Br
0.152 0.496 0.323 Br
0.171 0.652 0.511 Br
0.171 0.848 0.011 Br
0.173 0.168 0.012 Br
0.173 0.332 0.512 Br
0.232 0.245 0.760 Br
0.232 0.255 0.260 Br
0.258 0.746 0.757 Br
0.258 0.754 0.257 Br
0.490 0.111 0.873 Br
0.490 0.389 0.373 Br
0.493 0.631 0.377 Br
0.493 0.869 0.877 Br
0.507 0.131 0.123 Br
0.507 0.369 0.623 Br
0.510 0.611 0.627 Br
0.510 0.889 0.127 Br
0.742 0.246 0.743 Br
0.742 0.254 0.243 Br
0.768 0.745 0.740 Br
0.768 0.755 0.240 Br
0.827 0.668 0.488 Br
0.827 0.832 0.988 Br
0.829 0.152 0.989 Br
0.829 0.348 0.489 Br
0.848 0.504 0.677 Br
0.848 0.996 0.177 Br
0.982 0.134 0.622 Br
0.982 0.366 0.122 Br
0.992 0.131 0.377 Br
0.992 0.369 0.877 Br
```

---

5.
The following is a DFT calculation (GGA-PBEsol) of a geometry-optimized Co2AgRh structure.

## Properties
Energy of formation, eV/atom: 0.31
Symmetry: Cmmm (65)

Cell and atoms, written as POSCAR:
```
Co2AgRh
1.0
2.659 -3.630 0.000
2.659 3.630 0.000
0.000 0.000 2.644
Co Ag Rh
2 1 1
direct
0.000 0.500 0.000 Co
0.500 0.000 0.000 Co
0.000 0.000 0.500 Ag
0.500 0.500 0.500 Rh
```

---

6.
The following is a DFT calculation (GGA-PBEsol) of a geometry-optimized AlFeSe2 structure.

## Properties
Symmetry: P4/mmm (123)
Uncorrected formation energy, meV/atom: 163

Cell and atoms, written as POSCAR:
```
AlFeSe2
1.0
4.514 0.000 0.000
0.000 4.514 0.000
0.000 0.000 3.157
Al Fe Se
1 1 2
direct
0.000 0.000 0.000 Al
0.500 0.500 0.000 Fe
0.000 0.500 0.500 Se
0.500 0.000 0.500 Se
```

---

7.
The following is a DFT calculation (GGA-PBEsol) of a geometry-optimized LaMgIn2 structure.

## Properties
Energy of formation, eV/atom: -0.24
Symmetry: P4mm (99)

Cell and atoms, written as POSCAR:
```
LaMgIn2
1.0
3.761 0.000 0.000
0.000 3.761 0.000
0.000 0.000 7.480
La Mg In
1 1 2
direct
0.000 0.000 0.000 La
0.500 0.500 0.296 Mg
0.000 0.000 0.496 In
0.500 0.500 0.720 In
```

---

8.
The following is a DFT calculation (GGA-PBEsol) of a geometry-optimized EuGe2Ir2 structure.

## Properties
Energy of formation, eV/atom: -0.73
Symmetry: I4/mmm (139)

Cell and atoms, written as POSCAR:
```
EuGe2Ir2
1.0
-2.071 2.071 5.222
2.071 -2.071 5.222
2.071 2.071 -5.222
Eu Ge Ir
1 2 2
direct
0.000 0.000 0.000 Eu
0.376 0.376 0.000 Ge
0.624 0.624 0.000 Ge
0.250 0.750 0.500 Ir
0.750 0.250 0.500 Ir
```

---

9.
The following is a DFT calculation (GGA-PBEsol) of a geometry-optimized Tl2IF structure.

## Properties
Symmetry: Fm-3m (225)
Uncorrected formation energy, meV/atom: -891

Cell and atoms, written as POSCAR:
```
Tl2IF
1.0
0.000 3.839 3.839
3.839 0.000 3.839
3.839 3.839 0.000
Tl I F
2 1 1
direct
0.250 0.250 0.250 Tl
0.750 0.750 0.750 Tl
0.000 0.000 0.000 I
0.500 0.500 0.500 F
```

---

10.
The following is a DFT calculation (GGA-PBEsol) of a geometry-optimized MnCu2Re structure.

## Properties
Energy of formation, eV/atom: 0.36
Symmetry: P4/mmm (123)

Cell and atoms, written as POSCAR:
```
MnCu2Re
1.0
2.582 0.000 0.000
0.000 2.582 0.000
0.000 0.000 7.517
Mn Cu Re
1 2 1
direct
0.000 0.000 0.000 Mn
0.500 0.500 0.240 Cu
0.500 0.500 0.760 Cu
0.000 0.000 0.500 Re
```

---

11.
The following is a DFT calculation (GGA-PBEsol) of a geometry-optimized BSbO3 structure.

## Properties
Symmetry: C2/c (15)
Uncorrected formation energy, meV/atom: -1793

Cell and atoms, written as POSCAR:
```
BSbO3
1.0
3.168 -3.816 0.000
3.168 3.816 0.000
-3.104 0.000 12.268
B Sb O
4 4 12
direct
0.182 0.284 0.356 B
0.284 0.182 0.856 B
0.716 0.818 0.144 B
0.818 0.716 0.644 B
0.162 0.297 0.622 Sb
0.297 0.162 0.122 Sb
0.703 0.838 0.878 Sb
0.838 0.703 0.378 Sb
0.017 0.114 0.409 O
0.114 0.017 0.909 O
0.178 0.334 0.784 O
0.194 0.568 0.382 O
0.334 0.178 0.284 O
0.432 0.806 0.118 O
0.568 0.194 0.882 O
0.666 0.822 0.716 O
0.806 0.432 0.618 O
0.822 0.666 0.216 O
0.886 0.983 0.091 O
0.983 0.886 0.591 O
```

---

12.
The following is a DFT calculation (GGA-PBEsol) of a geometry-optimized In3Hg structure.

## Properties
Energy of formation, eV/atom: 0.00
Symmetry: Cmcm (63)

Cell and atoms, written as POSCAR:
```
In3Hg
1.0
4.835 -3.897 0.000
4.835 3.897 0.000
0.000 0.000 5.275
In Hg
6 2
direct
0.103 0.346 0.750 In
0.166 0.834 0.750 In
0.346 0.103 0.250 In
0.654 0.897 0.750 In
0.834 0.166 0.250 In
0.897 0.654 0.250 In
0.398 0.602 0.250 Hg
0.602 0.398 0.750 Hg
```